PmReB14 (PBE, relaxed); volume = 8.30 Å³/atom; formation energy = -0.0552 eV/atom; total magnetization = 0.00 μB per atom; DFT total energy = -111.6 eV/f.u.
1.0
-2.940 5.444 4.149
2.940 -5.444 4.149
2.940 5.444 -4.149
Pm Re B
2 2 28
direct
0.375 0.125 0.250
0.625 0.875 0.750
0.000 0.000 0.500
0.000 0.500 0.000
0.013 0.133 0.880
0.029 0.205 0.332
0.029 0.697 0.824
0.083 0.667 0.416
0.206 0.539 0.667
0.223 0.498 0.399
0.223 0.824 0.725
0.247 0.867 0.380
0.248 0.333 0.916
0.372 0.205 0.676
0.372 0.539 0.833
0.372 0.697 0.168
0.401 0.176 0.899
0.401 0.502 0.225
0.599 0.498 0.775
0.599 0.824 0.101
0.628 0.303 0.832
0.628 0.461 0.167
0.628 0.795 0.324
0.752 0.667 0.084
0.753 0.133 0.620
0.777 0.176 0.275
0.777 0.502 0.601
0.794 0.461 0.333
0.917 0.333 0.584
0.971 0.303 0.176
0.971 0.795 0.668
0.987 0.867 0.120


PmRe4B4 (PBE, relaxed); volume = 13.20 Å³/atom; formation energy = -0.3407 eV/atom; total magnetization = 0.00 μB per atom; DFT total energy = -84.3 eV/f.u.
1.0
7.473 0.000 0.000
0.000 7.473 0.000
0.000 0.000 4.256
Pm Re B
2 8 8
direct
0.250 0.250 0.250
0.750 0.750 0.750
0.117 0.624 0.115
0.124 0.883 0.615
0.376 0.617 0.615
0.383 0.876 0.115
0.617 0.124 0.885
0.624 0.383 0.385
0.876 0.117 0.385
0.883 0.376 0.885
0.062 0.923 0.118
0.077 0.562 0.618
0.423 0.938 0.618
0.438 0.577 0.118
0.562 0.423 0.882
0.577 0.062 0.382
0.923 0.438 0.382
0.938 0.077 0.882


PmRe2Si2B (PBE, relaxed); volume = 15.89 Å³/atom; total magnetization = 0.00 μB per atom; DFT total energy = -50.2 eV/f.u.; ΔE_f (raw) = -48 kJ/mol of atoms
1.0
4.237 0.000 0.000
0.000 4.237 0.000
0.000 0.000 5.310
Pm Re Si B
1 2 2 1
direct
0.000 0.000 0.000
0.000 0.500 0.500
0.500 0.000 0.500
0.500 0.500 0.231
0.500 0.500 0.769
0.000 0.000 0.500


Pm2Re2Si2B (PBE, relaxed); volume = 18.43 Å³/atom; total magnetization = 0.00 μB per atom; DFT total energy = -55.9 eV/f.u.; ΔE_f (raw) = -55 kJ/mol of atoms
1.0
5.497 -2.048 0.000
5.497 2.048 0.000
-4.230 0.000 5.730
Pm Re Si B
2 2 2 1
direct
0.077 0.077 0.307
0.923 0.923 0.693
0.285 0.285 0.913
0.715 0.715 0.087
0.360 0.360 0.319
0.640 0.640 0.681
0.500 0.500 0.000


PmB4Rh12 (PBE, relaxed); volume = 13.92 Å³/atom; formation energy = -0.0945 eV/atom; total magnetization = 0.00 μB per atom; DFT total energy = -121.3 eV/f.u.
1.0
-3.896 3.896 3.896
3.896 -3.896 3.896
3.896 3.896 -3.896
Pm B Rh
1 4 12
direct
0.000 0.000 0.000
0.000 0.000 0.500
0.000 0.500 0.000
0.500 0.000 0.000
0.500 0.500 0.500
0.150 0.323 0.827
0.173 0.497 0.323
0.173 0.850 0.677
0.323 0.173 0.497
0.323 0.827 0.150
0.497 0.323 0.173
0.503 0.677 0.827
0.677 0.173 0.850
0.677 0.827 0.503
0.827 0.150 0.323
0.827 0.503 0.677
0.850 0.677 0.173


PmB2Rh2 (PBE, relaxed); volume = 14.85 Å³/atom; formation energy = -0.6655 eV/atom; E above lowest polymorph = 0.000 eV per atom; total magnetization = 0.00 μB per atom; DFT total energy = -36.1 eV/f.u.
1.0
0.000 4.636 5.131
3.121 0.000 5.131
3.121 4.636 0.000
Pm B Rh
2 4 4
direct
0.125 0.125 0.125
0.875 0.875 0.875
0.194 0.556 0.194
0.444 0.806 0.444
0.556 0.194 0.556
0.806 0.444 0.806
0.242 0.242 0.508
0.492 0.492 0.758
0.508 0.508 0.242
0.758 0.758 0.492


PmB4Rh8 (PBE, relaxed); volume = 15.81 Å³/atom; formation energy = -0.1224 eV/atom; total magnetization = 0.00 μB per atom; DFT total energy = -91.9 eV/f.u.
1.0
2.765 1.597 7.757
-2.765 1.597 7.757
0.000 -3.193 7.757
Pm B Rh
1 4 8
direct
0.000 0.000 0.000
0.000 0.000 0.500
0.000 0.500 0.000
0.500 0.000 0.000
0.500 0.500 0.500
0.230 0.230 0.230
0.230 0.727 0.727
0.273 0.273 0.770
0.273 0.770 0.273
0.727 0.230 0.727
0.727 0.727 0.230
0.770 0.273 0.273
0.770 0.770 0.770


PmBRh3 (PBE, relaxed); volume = 15.32 Å³/atom; formation energy = -0.7232 eV/atom; total magnetization = 0.00 μB per atom; DFT total energy = -37.1 eV/f.u.
1.0
4.247 0.000 0.000
0.000 4.247 0.000
0.000 0.000 4.247
Pm B Rh
1 1 3
direct
0.000 0.000 0.000
0.500 0.500 0.500
0.000 0.500 0.500
0.500 0.000 0.500
0.500 0.500 0.000


PmB2Rh2 (PBE, relaxed); volume = 19.37 Å³/atom; formation energy = -0.0539 eV/atom; E above lowest polymorph = 0.612 eV per atom; total magnetization = 0.00 μB per atom; DFT total energy = -33.1 eV/f.u.
1.0
-1.984 1.984 6.149
1.984 -1.984 6.149
1.984 1.984 -6.149
Pm B Rh
1 2 2
direct
0.000 0.000 0.000
0.200 0.200 0.000
0.800 0.800 0.000
0.250 0.750 0.500
0.750 0.250 0.500


Pm2BRh6 (PBE, relaxed); volume = 16.03 Å³/atom; formation energy = -0.6261 eV/atom; E above lowest polymorph = 0.000 eV per atom; total magnetization = 0.00 μB per atom; DFT total energy = -65.9 eV/f.u.
1.0
0.000 4.163 4.163
4.163 0.000 4.163
4.163 4.163 0.000
Pm B Rh
2 1 6
direct
0.250 0.250 0.250
0.750 0.750 0.750
0.000 0.000 0.000
0.257 0.257 0.743
0.257 0.743 0.257
0.257 0.743 0.743
0.743 0.257 0.257
0.743 0.257 0.743
0.743 0.743 0.257


Pm3B2Rh3 (PBE, relaxed); volume = 18.38 Å³/atom; formation energy = -0.5406 eV/atom; total magnetization = 0.00 μB per atom; DFT total energy = -54.0 eV/f.u.
1.0
1.888 -5.290 0.000
1.888 5.290 0.000
0.000 0.000 14.724
Pm B Rh
6 4 6
direct
0.065 0.935 0.609
0.065 0.935 0.891
0.349 0.651 0.750
0.651 0.349 0.250
0.935 0.065 0.109
0.935 0.065 0.391
0.219 0.781 0.097
0.219 0.781 0.403
0.781 0.219 0.597
0.781 0.219 0.903
0.328 0.672 0.540
0.328 0.672 0.960
0.342 0.658 0.250
0.658 0.342 0.750
0.672 0.328 0.040
0.672 0.328 0.460


PmB4Rh6 (PBE, relaxed); volume = 12.36 Å³/atom; formation energy = -0.3330 eV/atom; E above lowest polymorph = 0.000 eV per atom; total magnetization = 0.00 μB per atom; DFT total energy = -79.2 eV/f.u.
1.0
6.735 0.000 0.000
-3.368 5.833 0.000
0.000 0.000 3.460
Pm B Rh
1 4 6
direct
0.000 0.000 0.000
0.333 0.667 0.000
0.411 0.206 0.500
0.794 0.206 0.500
0.794 0.589 0.500
0.199 0.397 0.500
0.199 0.801 0.500
0.537 0.073 0.000
0.537 0.463 0.000
0.603 0.801 0.500
0.927 0.463 0.000